*P*
This record from Alexandria via LeMat-Bulk describes an optimized crystal structure of Cu2TcH. The functional is PBE.

Lattice parameters (Å, degrees): 5.0548 5.0548 4.9154 59.06 59.06 90.00
Last column: nearest neighbours and their distance in Å.
Sites, in units of the cell vectors:
H: 0.5000 0.5000 0.0000  4 Cu 1.56
Tc: 0.0000 0.0000 0.0000  8 Cu 2.65-2.85
Cu: 0.4447 0.1250 0.2500  2 H 1.56
Tc: 0.7500 0.2500 0.5000  8 Cu 2.65-2.85
Cu: 0.3750 0.5553 0.7500  2 H 1.56
Cu: 0.3053 0.6250 0.2500  2 H 1.56
H: 0.2500 0.7500 0.5000  4 Cu 1.56
Cu: 0.8750 0.6947 0.7500  2 H 1.56

## Properties
density of states at the Fermi level = 1.180 states/eV/cell



*Q*
This record from Alexandria via LeMat-Bulk describes an optimized crystal structure of Cu2TcH. The functional is PBE.

Lattice parameters (Å, degrees): 4.0918 4.0918 4.0918 60.00 60.00 60.00
Last column: nearest neighbours and their distance in Å.
Sites, in units of the cell vectors:
Cu: 0.7500 0.7500 0.7500  4 H 2.51, 4 Tc 2.51
Tc: 0.5000 0.5000 0.5000  8 Cu 2.51
Cu: 0.2500 0.2500 0.2500  4 H 2.51, 4 Tc 2.51
H: 0.0000 0.0000 0.0000  8 Cu 2.51

## Properties
density of states at the Fermi level = 0.557 states/eV/cell



Each structure's energy above the most stable one, in kJ/mol of atoms: *P* 0.0; *Q* 52.1.



*P*
This record from Alexandria via LeMat-Bulk describes an optimized crystal structure of CuTcH3. The functional is PBE.

Lattice parameters (Å, degrees): 3.2801 3.2801 3.2801 90.00 90.00 90.00
Last column: nearest neighbours and their distance in Å.
Sites, in units of the cell vectors:
Cu: 0.0000 0.0000 0.0000  6 H 1.64
H: 0.0000 0.0000 0.5000  2 Cu 1.64
Tc: 0.5000 0.5000 0.5000  12 H 2.32
H: 0.5000 0.0000 0.0000  2 Cu 1.64
H: 0.0000 0.5000 0.0000  2 Cu 1.64

## Properties
density of states at the Fermi level = 3.296 states/eV/cell



*Q*
This record from Alexandria via LeMat-Bulk describes an optimized crystal structure of CuTcH3. The functional is PBE.

Lattice parameters (Å, degrees): 3.4189 3.4189 3.4189 90.00 90.00 90.00
Last column: nearest neighbours and their distance in Å.
Sites, in units of the cell vectors:
H: 0.0000 0.0000 0.5000  2 Tc 1.71
H: 0.5000 0.0000 0.0000  2 Tc 1.71
Tc: 0.0000 0.0000 0.0000  6 H 1.71
Cu: 0.5000 0.5000 0.5000  12 H 2.42
H: 0.0000 0.5000 0.0000  2 Tc 1.71

## Properties
density of states at the Fermi level = 3.128 states/eV/cell



Each structure's energy above the most stable one, in kJ/mol of atoms: *P* 12.9; *Q* 0.0.